# La6InIr2Br3 | Alexandria | PBE | optimized geometry
# Calculated total energy in eV/atom: -5.6784
# Magnetization in μB/f.u.: 0.0
data_La6InIr2Br3
_symmetry_space_group_name_H-M 'C 1 2/m 1'
_symmetry_Int_Tables_number 12
_cell_length_a 20.1195
_cell_length_b 4.2557
_cell_length_c 9.4036
_cell_angle_alpha 90.00
_cell_angle_beta 107.64
_cell_angle_gamma 90.00
loop_
_symmetry_equiv_pos_as_xyz
'x,y,z'
'-x,-y,-z'
'-x,y,-z'
'x,-y,z'
'x+1/2,y+1/2,z'
'-x+1/2,-y+1/2,-z'
'-x+1/2,y+1/2,-z'
'x+1/2,-y+1/2,z'
loop_
_atom_site_label
_atom_site_type_symbol
_atom_site_fract_x
_atom_site_fract_y
_atom_site_fract_z
La1 La 0.0227 0.0000 0.2629
La2 La 0.1662 0.5000 0.1312
La3 La 0.1818 0.5000 0.5605
In1 In 0.0000 0.5000 0.0000
Ir1 Ir 0.1700 0.0000 0.3425
Br1 Br 0.0000 0.5000 0.5000
Br2 Br 0.1635 0.0000 0.8412